No. 1
VASP calculation (GGA-PBE) on a relaxed structure of KTcP2.

The structure in CIF format:
```
data_KTcP2
_chemical_formula_sum 'K3 Tc3 P6'
_cell_length_a 3.3197
_cell_length_b 3.3197
_cell_length_c 24.4499
_cell_angle_alpha 90.00
_cell_angle_beta 90.00
_cell_angle_gamma 120.00
_symmetry_space_group_name_H-M 'R -3 m'
_symmetry_Int_Tables_number 166
_symmetry_space_group_name_Hall '-R 3 2"'
loop_
_atom_site_label
_atom_site_type_symbol
_atom_site_fract_x
_atom_site_fract_y
_atom_site_fract_z
K1 K 0.0000 0.0000 0.0000
Tc1 Tc 0.0000 0.0000 0.5000
P1 P 0.0000 0.0000 0.2290
```

## Properties
DFT formation energy: -182 meV/atom
raw total energy: -5.752 eV/atom
ΔE to the lowest computed polymorph: 104 meV/atom

No. 2
VASP calculation (GGA-PBE) on a relaxed structure of K2TcP.

The structure in CIF format:
```
data_K2TcP
_chemical_formula_sum 'K4 Tc2 P2'
_cell_length_a 6.897
_cell_length_b 3.979
_cell_length_c 9.884
_cell_angle_alpha 90.00
_cell_angle_beta 101.98
_cell_angle_gamma 90.00
_symmetry_space_group_name_H-M 'C 1 m 1'
_symmetry_Int_Tables_number 8
loop_
_symmetry_equiv_pos_as_xyz
'x,y,z'
'x,-y,z'
'x+1/2,y+1/2,z'
'x+1/2,-y+1/2,z'
loop_
_atom_site_label
_atom_site_type_symbol
_atom_site_fract_x
_atom_site_fract_y
_atom_site_fract_z
K1 K 0.000 0.000 0.000
K2 K 0.160 0.000 0.540
Tc1 Tc 0.247 0.500 0.270
P1 P 0.414 0.000 0.270
```

## Properties
DFT formation energy: 12 meV/atom
raw total energy: -4.480 eV/atom

No. 3
VASP calculation (GGA-PBE) on a relaxed structure of KTc2P2.

The structure in CIF format:
```
data_KTc2P2
_chemical_formula_sum 'K2 Tc4 P4'
_cell_length_a 4.541
_cell_length_b 4.541
_cell_length_c 8.856
_cell_angle_alpha 90.00
_cell_angle_beta 90.00
_cell_angle_gamma 90.00
_symmetry_space_group_name_H-M 'I 4/m m m'
_symmetry_Int_Tables_number 139
_symmetry_space_group_name_Hall '-I 4 2'
loop_
_atom_site_label
_atom_site_type_symbol
_atom_site_fract_x
_atom_site_fract_y
_atom_site_fract_z
K1 K 0.000 0.000 0.000
Tc1 Tc 0.000 0.000 0.372
P1 P 0.000 0.500 0.250
```

## Properties
DFT formation energy: 27 meV/atom
raw total energy: -6.503 eV/atom
ΔE to the lowest computed polymorph: 171 meV/atom

No. 4
VASP calculation (GGA-PBE) on a relaxed structure of K2TcP.

The structure in CIF format:
```
data_K2TcP
_chemical_formula_sum 'K4 Tc2 P2'
_cell_length_a 3.005
_cell_length_b 3.799
_cell_length_c 19.943
_cell_angle_alpha 90.00
_cell_angle_beta 90.00
_cell_angle_gamma 90.00
_symmetry_space_group_name_H-M 'I m m m'
_symmetry_Int_Tables_number 71
_symmetry_space_group_name_Hall '-I 2 2'
loop_
_atom_site_label
_atom_site_type_symbol
_atom_site_fract_x
_atom_site_fract_y
_atom_site_fract_z
K1 K 0.000 0.000 0.146
Tc1 Tc 0.000 0.500 0.000
P1 P 0.000 0.500 0.500
```

## Properties
DFT formation energy: 182 meV/atom
raw total energy: -4.311 eV/atom

No. 5
VASP calculation (GGA-PBE) on a relaxed structure of KTcP2.

The structure in CIF format:
```
data_KTcP2
_chemical_formula_sum 'K2 Tc2 P4'
_cell_length_a 7.704
_cell_length_b 3.243
_cell_length_c 6.637
_cell_angle_alpha 90.00
_cell_angle_beta 101.54
_cell_angle_gamma 90.00
_symmetry_space_group_name_H-M 'C 1 2/m 1'
_symmetry_Int_Tables_number 12
loop_
_symmetry_equiv_pos_as_xyz
'x,y,z'
'-x,-y,-z'
'-x,y,-z'
'x,-y,z'
'x+1/2,y+1/2,z'
'-x+1/2,-y+1/2,-z'
'-x+1/2,y+1/2,-z'
'x+1/2,-y+1/2,z'
loop_
_atom_site_label
_atom_site_type_symbol
_atom_site_fract_x
_atom_site_fract_y
_atom_site_fract_z
K1 K 0.000 0.000 0.000
Tc1 Tc 0.000 0.500 0.500
P1 P 0.229 0.000 0.637
```

## Properties
DFT formation energy: -215 meV/atom
raw total energy: -5.786 eV/atom
ΔE to the lowest computed polymorph: 71 meV/atom

No. 6
VASP calculation (GGA-PBE) on a relaxed structure of KTcP4.

The structure in CIF format:
```
data_KTcP4
_chemical_formula_sum 'K4 Tc4 P16'
_cell_length_a 7.643
_cell_length_b 7.643
_cell_length_c 7.643
_cell_angle_alpha 90.00
_cell_angle_beta 90.00
_cell_angle_gamma 90.00
_symmetry_space_group_name_H-M 'F -4 3 m'
_symmetry_Int_Tables_number 216
_symmetry_space_group_name_Hall 'F -4 2 3'
loop_
_atom_site_label
_atom_site_type_symbol
_atom_site_fract_x
_atom_site_fract_y
_atom_site_fract_z
K1 K 0.000 0.000 0.000
Tc1 Tc 0.250 0.250 0.250
P1 P 0.109 0.109 0.609
```

## Properties
DFT formation energy: 733 meV/atom
raw total energy: -4.784 eV/atom

No. 7
VASP calculation (GGA-PBE) on a relaxed structure of KTc2P.

The structure in CIF format:
```
data_KTc2P
_chemical_formula_sum 'K1 Tc2 P1'
_cell_length_a 3.063
_cell_length_b 4.139
_cell_length_c 6.954
_cell_angle_alpha 90.00
_cell_angle_beta 100.85
_cell_angle_gamma 90.00
_symmetry_space_group_name_H-M 'P 1 m 1'
_symmetry_Int_Tables_number 6
loop_
_symmetry_equiv_pos_as_xyz
'x,y,z'
'x,-y,z'
loop_
_atom_site_label
_atom_site_type_symbol
_atom_site_fract_x
_atom_site_fract_y
_atom_site_fract_z
K1 K 0.000 0.000 0.000
Tc1 Tc 0.249 0.500 0.569
Tc2 Tc 0.682 0.000 0.495
P1 P 0.637 0.500 0.304
```

## Properties
DFT formation energy: 241 meV/atom
raw total energy: -6.569 eV/atom

No. 8
VASP calculation (GGA-PBE) on a relaxed structure of KTcP2.

The structure in CIF format:
```
data_KTcP2
_chemical_formula_sum 'K4 Tc4 P8'
_cell_length_a 6.481
_cell_length_b 6.481
_cell_length_c 6.481
_cell_angle_alpha 90.00
_cell_angle_beta 90.00
_cell_angle_gamma 90.00
_symmetry_space_group_name_H-M 'F -4 3 m'
_symmetry_Int_Tables_number 216
_symmetry_space_group_name_Hall 'F -4 2 3'
loop_
_atom_site_label
_atom_site_type_symbol
_atom_site_fract_x
_atom_site_fract_y
_atom_site_fract_z
K1 K 0.000 0.000 0.000
Tc1 Tc 0.250 0.250 0.750
P1 P 0.000 0.000 0.500
P2 P 0.250 0.250 0.250
```

## Properties
DFT formation energy: 1112 meV/atom
raw total energy: -4.459 eV/atom
ΔE to the lowest computed polymorph: 1398 meV/atom

No. 9
VASP calculation (GGA-PBE) on a relaxed structure of KTcP2.

The structure in CIF format:
```
data_KTcP2
_chemical_formula_sum 'K4 Tc4 P8'
_cell_length_a 5.773
_cell_length_b 5.773
_cell_length_c 13.425
_cell_angle_alpha 90.00
_cell_angle_beta 90.00
_cell_angle_gamma 90.00
_symmetry_space_group_name_H-M 'I 41/a m d'
_symmetry_Int_Tables_number 141
loop_
_symmetry_equiv_pos_as_xyz
'x,y,z'
'-x,-y,-z'
'-y+1/4,x+3/4,z+1/4'
'y+1/4,-x+3/4,-z+1/4'
'-x+1/2,-y,z+1/2'
'x+1/2,y,-z+1/2'
'y+1/4,-x+1/4,z+3/4'
'-y+1/4,x+1/4,-z+3/4'
'x,-y,-z'
'-x,y,z'
'-y+1/4,-x+1/4,-z+3/4'
'y+1/4,x+1/4,z+3/4'
'-x+1/2,y,-z+1/2'
'x+1/2,-y,z+1/2'
'y+1/4,x+3/4,-z+1/4'
'-y+1/4,-x+3/4,z+1/4'
'x+1/2,y+1/2,z+1/2'
'-x+1/2,-y+1/2,-z+1/2'
'-y+3/4,x+1/4,z+3/4'
'y+3/4,-x+1/4,-z+3/4'
'-x,-y+1/2,z'
'x,y+1/2,-z'
'y+3/4,-x+3/4,z+1/4'
'-y+3/4,x+3/4,-z+1/4'
'x+1/2,-y+1/2,-z+1/2'
'-x+1/2,y+1/2,z+1/2'
'-y+3/4,-x+3/4,-z+1/4'
'y+3/4,x+3/4,z+1/4'
'-x,y+1/2,-z'
'x,-y+1/2,z'
'y+3/4,x+1/4,-z+3/4'
'-y+3/4,-x+1/4,z+3/4'
loop_
_atom_site_label
_atom_site_type_symbol
_atom_site_fract_x
_atom_site_fract_y
_atom_site_fract_z
K1 K 0.000 0.250 0.375
Tc1 Tc 0.000 0.250 0.875
P1 P 0.000 0.000 0.000
```

## Properties
DFT formation energy: -244 meV/atom
raw total energy: -5.815 eV/atom
ΔE to the lowest computed polymorph: 42 meV/atom

No. 10
VASP calculation (GGA-PBE) on a relaxed structure of KTcP2.

The structure in CIF format:
```
data_KTcP2
_chemical_formula_sum 'K2 Tc2 P4'
_cell_length_a 7.767
_cell_length_b 3.244
_cell_length_c 6.978
_cell_angle_alpha 90.00
_cell_angle_beta 94.84
_cell_angle_gamma 90.00
_symmetry_space_group_name_H-M 'C 1 m 1'
_symmetry_Int_Tables_number 8
loop_
_symmetry_equiv_pos_as_xyz
'x,y,z'
'x,-y,z'
'x+1/2,y+1/2,z'
'x+1/2,-y+1/2,z'
loop_
_atom_site_label
_atom_site_type_symbol
_atom_site_fract_x
_atom_site_fract_y
_atom_site_fract_z
K1 K 0.000 0.000 0.000
Tc1 Tc 0.139 0.500 0.464
P1 P 0.263 0.000 0.683
P2 P 0.336 0.000 0.373
```

## Properties
DFT formation energy: -214 meV/atom
raw total energy: -5.784 eV/atom
ΔE to the lowest computed polymorph: 72 meV/atom

No. 11
VASP calculation (GGA-PBE) on a relaxed structure of KTc2P.

The structure in CIF format:
```
data_KTc2P
_chemical_formula_sum 'K1 Tc2 P1'
_cell_length_a 3.189
_cell_length_b 4.536
_cell_length_c 4.751
_cell_angle_alpha 90.00
_cell_angle_beta 90.00
_cell_angle_gamma 90.00
_symmetry_space_group_name_H-M 'P m m m'
_symmetry_Int_Tables_number 47
loop_
_symmetry_equiv_pos_as_xyz
'x,y,z'
'-x,-y,-z'
'-x,-y,z'
'x,y,-z'
'x,-y,-z'
'-x,y,z'
'-x,y,-z'
'x,-y,z'
loop_
_atom_site_label
_atom_site_type_symbol
_atom_site_fract_x
_atom_site_fract_y
_atom_site_fract_z
K1 K 0.000 0.000 0.000
Tc1 Tc 0.000 0.500 0.500
Tc2 Tc 0.500 0.000 0.500
P1 P 0.500 0.500 0.000
```

## Properties
DFT formation energy: 1299 meV/atom
raw total energy: -5.511 eV/atom

No. 12
VASP calculation (GGA-PBE) on a relaxed structure of K2TcP.

The structure in CIF format:
```
data_K2TcP
_chemical_formula_sum 'K2 Tc1 P1'
_cell_length_a 2.782
_cell_length_b 2.782
_cell_length_c 10.999
_cell_angle_alpha 90.00
_cell_angle_beta 90.00
_cell_angle_gamma 90.00
_symmetry_space_group_name_H-M 'P 4/m m m'
_symmetry_Int_Tables_number 123
_symmetry_space_group_name_Hall '-P 4 2'
loop_
_atom_site_label
_atom_site_type_symbol
_atom_site_fract_x
_atom_site_fract_y
_atom_site_fract_z
K1 K 0.000 0.000 0.231
Tc1 Tc 0.500 0.500 0.500
P1 P 0.500 0.500 0.000
```

## Properties
DFT formation energy: 837 meV/atom
raw total energy: -3.656 eV/atom

No. 13
VASP calculation (GGA-PBE) on a relaxed structure of K2TcP.

The structure in CIF format:
```
data_K2TcP
_chemical_formula_sum 'K2 Tc1 P1'
_cell_length_a 3.284
_cell_length_b 3.284
_cell_length_c 10.164
_cell_angle_alpha 90.00
_cell_angle_beta 90.00
_cell_angle_gamma 90.00
_symmetry_space_group_name_H-M 'P 4 m m'
_symmetry_Int_Tables_number 99
loop_
_symmetry_equiv_pos_as_xyz
'x,y,z'
'-y,x,z'
'-x,-y,z'
'y,-x,z'
'-x,y,z'
'y,x,z'
'x,-y,z'
'-y,-x,z'
loop_
_atom_site_label
_atom_site_type_symbol
_atom_site_fract_x
_atom_site_fract_y
_atom_site_fract_z
K1 K 0.000 0.000 0.000
K2 K 0.500 0.500 0.427
Tc1 Tc 0.500 0.500 0.742
P1 P 0.000 0.000 0.671
```

## Properties
DFT formation energy: 129 meV/atom
raw total energy: -4.363 eV/atom

No. 14
VASP calculation (GGA-PBE) on a relaxed structure of KTc3P3.

The structure in CIF format:
```
data_KTc3P3
_chemical_formula_sum 'K6 Tc18 P18'
_cell_length_a 6.5874
_cell_length_b 6.5874
_cell_length_c 24.7250
_cell_angle_alpha 90.00
_cell_angle_beta 90.00
_cell_angle_gamma 120.00
_symmetry_space_group_name_H-M 'R -3'
_symmetry_Int_Tables_number 148
_symmetry_space_group_name_Hall '-R 3'
loop_
_atom_site_label
_atom_site_type_symbol
_atom_site_fract_x
_atom_site_fract_y
_atom_site_fract_z
K1 K 0.0000 0.0000 0.1622
Tc1 Tc 0.0119 0.3754 0.2959
P1 P 0.0089 0.2919 0.7265
```

## Properties
DFT formation energy: -332 meV/atom
raw total energy: -7.250 eV/atom

Number 1: total magnetic moment 0.00 μB per cell. Number 2: total magnetic moment 0.00 μB per cell. Number 3: total magnetic moment 0.00 μB per cell. Number 4: total magnetic moment 0.00 μB per cell. Number 5: total magnetic moment 0.00 μB per cell. Number 6: total magnetic moment 12.49 μB per cell. Number 7: total magnetic moment 0.00 μB per cell. Number 8: total magnetic moment 0.01 μB per cell. Number 9: total magnetic moment 0.00 μB per cell. Number 10: total magnetic moment 0.00 μB per cell. Number 11: total magnetic moment 0.00 μB per cell. Number 12: total magnetic moment 0.00 μB per cell. Number 13: total magnetic moment 0.00 μB per cell. Number 14: total magnetic moment 0.00 μB per cell.